1.
! PBE LuSnOs, relaxed; values from VASP
&SYSTEM
  ibrav = 0, nat = 12, ntyp = 3
/
ATOMIC_SPECIES
Lu 174.97 Lu.upf
Sn 118.71 Sn.upf
Os 190.23 Os.upf
ATOMIC_POSITIONS angstrom
Lu 0.0000 0.0000 0.0000
Lu 0.0000 3.2511 3.2511
Lu 3.2511 0.0000 3.2511
Lu 3.2511 3.2511 0.0000
Sn 0.0000 0.0000 3.2511
Sn 0.0000 3.2511 0.0000
Sn 3.2511 0.0000 0.0000
Sn 3.2511 3.2511 3.2511
Os 1.6255 1.6255 1.6255
Os 1.6255 4.8766 4.8766
Os 4.8766 1.6255 4.8766
Os 4.8766 4.8766 1.6255
CELL_PARAMETERS angstrom
6.5021 0.0000 0.0000
0.0000 6.5021 0.0000
0.0000 0.0000 6.5021
! crystal system = cubic
! E_tot = -6.771 eV/atom
! magnetic moment = 0.00 μB per formula unit
! volume = 274.9 Å³/cell
! space-group type = F-43m, No. 216

***

2.
! PBE BeBAsOs, relaxed; values from VASP
&SYSTEM
  ibrav = 0, nat = 16, ntyp = 4
/
ATOMIC_SPECIES
Be 9.01 Be.upf
B 10.81 B.upf
As 74.92 As.upf
Os 190.23 Os.upf
ATOMIC_POSITIONS angstrom
Be 0.0000 0.0000 0.0000
Be 0.0000 2.8668 2.8668
Be 2.8668 0.0000 2.8668
Be 2.8668 2.8668 0.0000
B 1.4334 1.4334 1.4334
B 1.4334 4.3002 4.3002
B 4.3002 1.4334 4.3002
B 4.3002 4.3002 1.4334
As 1.4334 1.4334 4.3002
As 1.4334 4.3002 1.4334
As 4.3002 1.4334 1.4334
As 4.3002 4.3002 4.3002
Os 0.0000 0.0000 2.8668
Os 0.0000 2.8668 0.0000
Os 2.8668 0.0000 0.0000
Os 2.8668 2.8668 2.8668
CELL_PARAMETERS angstrom
5.7336 0.0000 0.0000
0.0000 5.7336 0.0000
0.0000 0.0000 5.7336
! crystal system = cubic
! E_tot = -5.810 eV/atom
! magnetic moment = 0.00 μB per formula unit
! volume = 188.5 Å³/cell
! excess energy over the best structure of this formula in the dataset = 0.000 eV per atom
! space-group type = F-43m, No. 216

***

3.
! PBE Zr2FeIr, relaxed; values from VASP
&SYSTEM
  ibrav = 0, nat = 16, ntyp = 3
/
ATOMIC_SPECIES
Zr 91.22 Zr.upf
Fe 55.84 Fe.upf
Ir 192.22 Ir.upf
ATOMIC_POSITIONS angstrom
Zr 0.0000 0.0000 0.0000
Zr 0.0000 3.2064 3.2064
Zr 1.6032 1.6032 1.6032
Zr 1.6032 4.8096 4.8096
Zr 3.2064 0.0000 3.2064
Zr 3.2064 3.2064 0.0000
Zr 4.8096 1.6032 4.8096
Zr 4.8096 4.8096 1.6032
Fe 0.0000 0.0000 3.2064
Fe 0.0000 3.2064 0.0000
Fe 3.2064 0.0000 0.0000
Fe 3.2064 3.2064 3.2064
Ir 1.6032 1.6032 4.8096
Ir 1.6032 4.8096 1.6032
Ir 4.8096 1.6032 1.6032
Ir 4.8096 4.8096 4.8096
CELL_PARAMETERS angstrom
6.4128 0.0000 0.0000
0.0000 6.4128 0.0000
0.0000 0.0000 6.4128
! crystal system = cubic
! E_tot = -8.838 eV/atom
! magnetic moment = 2.17 μB per formula unit
! volume = 263.7 Å³/cell
! space-group type = F-43m, No. 216
! calculated formation energy = -274 meV/atom

***

4.
! PBE Ta4SiNiC2, relaxed; values from VASP
&SYSTEM
  ibrav = 0, nat = 8, ntyp = 4
/
ATOMIC_SPECIES
Ta 180.95 Ta.upf
Si 28.09 Si.upf
Ni 58.69 Ni.upf
C 12.01 C.upf
ATOMIC_POSITIONS angstrom
Ta 0.0000 0.0000 1.9447
Ta 0.0000 0.0000 10.7705
Ta 0.0000 1.8189 4.4091
Ta 0.0000 1.8189 8.3061
Si 0.0000 1.8189 0.0000
Ni 0.0000 0.0000 6.3576
C 1.5752 0.9094 3.1943
C 1.5752 0.9094 9.5208
CELL_PARAMETERS angstrom
3.1504 0.0000 0.0000
-1.5752 2.7283 0.0000
0.0000 0.0000 12.7151
! crystal system = hexagonal
! E_tot = -10.041 eV/atom
! magnetic moment = 0.00 μB per formula unit
! volume = 109.3 Å³/cell
! space-group type = P-6m2, No. 187

***

5.
! PBE CsCuHg3, relaxed; values from VASP
&SYSTEM
  ibrav = 0, nat = 10, ntyp = 3
/
ATOMIC_SPECIES
Cs 132.91 Cs.upf
Cu 63.55 Cu.upf
Hg 200.59 Hg.upf
ATOMIC_POSITIONS angstrom
Cs 3.7490 3.0084 5.5349
Cs 3.7490 -3.0084 1.8450
Cu 3.7490 1.3041 1.8450
Cu 3.7490 -1.3041 5.5349
Hg 3.7490 4.0077 1.8450
Hg 2.1439 0.0000 0.0000
Hg 2.1439 0.0000 3.6900
Hg 5.3541 0.0000 0.0000
Hg 5.3541 0.0000 3.6900
Hg 3.7490 -4.0077 5.5349
CELL_PARAMETERS angstrom
3.7490 -5.5856 0.0000
3.7490 5.5856 0.0000
0.0000 0.0000 7.3799
! crystal system = orthorhombic
! E_tot = -1.150 eV/atom
! volume = 309.1 Å³/cell
! space-group type = Cmcm, No. 63

***

6.
! PBE HfTaAlFe, relaxed; values from VASP
&SYSTEM
  ibrav = 0, nat = 16, ntyp = 4
/
ATOMIC_SPECIES
Hf 178.49 Hf.upf
Ta 180.95 Ta.upf
Al 26.98 Al.upf
Fe 55.84 Fe.upf
ATOMIC_POSITIONS angstrom
Hf 0.0000 0.0000 0.0000
Hf 0.0000 3.1867 3.1867
Hf 3.1867 0.0000 3.1867
Hf 3.1867 3.1867 0.0000
Ta 1.5934 1.5934 1.5934
Ta 1.5934 4.7801 4.7801
Ta 4.7801 1.5934 4.7801
Ta 4.7801 4.7801 1.5934
Al 0.0000 0.0000 3.1867
Al 0.0000 3.1867 0.0000
Al 3.1867 0.0000 0.0000
Al 3.1867 3.1867 3.1867
Fe 1.5934 1.5934 4.7801
Fe 1.5934 4.7801 1.5934
Fe 4.7801 1.5934 1.5934
Fe 4.7801 4.7801 4.7801
CELL_PARAMETERS angstrom
6.3734 0.0000 0.0000
0.0000 6.3734 0.0000
0.0000 0.0000 6.3734
! crystal system = cubic
! E_tot = -8.356 eV/atom
! magnetic moment = 2.00 μB per formula unit
! volume = 258.9 Å³/cell
! excess energy over the best structure of this formula in the dataset = 0.000 eV per atom
! space-group type = F-43m, No. 216

***

7.
! PBE Na4NbSe4, relaxed; values from VASP
&SYSTEM
  ibrav = 0, nat = 18, ntyp = 3
/
ATOMIC_SPECIES
Na 22.99 Na.upf
Nb 92.91 Nb.upf
Se 78.96 Se.upf
ATOMIC_POSITIONS angstrom
Na 0.7470 2.4546 3.4262
Na 1.5910 3.2986 7.0658
Na 2.4546 7.3442 3.8529
Na 3.2986 6.5002 0.2134
Na 4.7926 1.5910 0.2134
Na 5.6366 0.7470 3.8529
Na 6.5002 4.7926 7.0658
Na 7.3442 5.6366 3.4262
Nb 0.0000 0.0000 0.0000
Nb 4.0456 4.0456 3.6396
Se 0.7560 6.1521 5.9156
Se 1.9391 0.7560 1.3636
Se 2.1065 4.8016 2.2760
Se 3.2896 2.1065 5.0032
Se 4.8016 5.9848 5.0032
Se 5.9848 3.2896 2.2760
Se 6.1521 7.3352 1.3636
Se 7.3352 1.9391 5.9156
CELL_PARAMETERS angstrom
8.0912 0.0000 0.0000
0.0000 8.0912 0.0000
0.0000 0.0000 7.2792
! crystal system = tetragonal
! E_tot = -4.186 eV/atom
! magnetic moment = 1.00 μB per formula unit
! volume = 476.6 Å³/cell
! space-group type = P-42_1c, No. 114

***

8.
! PBE TaW7, relaxed; values from VASP
&SYSTEM
  ibrav = 0, nat = 8, ntyp = 2
/
ATOMIC_SPECIES
Ta 180.95 Ta.upf
W 183.84 W.upf
ATOMIC_POSITIONS angstrom
Ta 0.0000 0.0000 0.0000
W 0.0000 0.0000 3.2002
W 0.0000 2.2595 1.6155
W 0.0000 2.2595 4.7849
W 2.2595 0.0000 1.6155
W 2.2595 0.0000 4.7849
W 2.2595 2.2595 0.0000
W 2.2595 2.2595 3.2002
CELL_PARAMETERS angstrom
4.5190 0.0000 0.0000
0.0000 4.5190 0.0000
0.0000 0.0000 6.4004
! crystal system = tetragonal
! E_tot = -12.878 eV/atom
! magnetic moment = 0.01 μB per formula unit
! volume = 130.7 Å³/cell
! space-group type = P4/mmm, No. 123
! calculated formation energy = -56 meV/atom

***

9.
! PBE TbHg, relaxed; values from VASP
&SYSTEM
  ibrav = 0, nat = 2, ntyp = 2
/
ATOMIC_SPECIES
Tb 158.93 Tb.upf
Hg 200.59 Hg.upf
ATOMIC_POSITIONS angstrom
Tb 0.0000 0.0000 0.0000
Hg 1.8584 1.8584 1.8584
CELL_PARAMETERS angstrom
3.7168 0.0000 0.0000
0.0000 3.7168 0.0000
0.0000 0.0000 3.7168
! crystal system = cubic
! E_tot = -2.944 eV/atom
! magnetic moment = 0.00 μB per formula unit
! volume = 51.3 Å³/cell
! space-group type = Pm-3m, No. 221
! calculated formation energy = -480 meV/atom

***

10.
! PBE Zr2GaAg, relaxed; values from VASP
&SYSTEM
  ibrav = 0, nat = 16, ntyp = 3
/
ATOMIC_SPECIES
Zr 91.22 Zr.upf
Ga 69.72 Ga.upf
Ag 107.87 Ag.upf
ATOMIC_POSITIONS angstrom
Zr 0.0000 0.0000 0.0000
Zr 0.0000 3.4411 3.4411
Zr 1.7206 1.7206 1.7206
Zr 1.7206 5.1617 5.1617
Zr 3.4411 0.0000 3.4411
Zr 3.4411 3.4411 0.0000
Zr 5.1617 1.7206 5.1617
Zr 5.1617 5.1617 1.7206
Ga 1.7206 1.7206 5.1617
Ga 1.7206 5.1617 1.7206
Ga 5.1617 1.7206 1.7206
Ga 5.1617 5.1617 5.1617
Ag 0.0000 0.0000 3.4411
Ag 0.0000 3.4411 0.0000
Ag 3.4411 0.0000 0.0000
Ag 3.4411 3.4411 3.4411
CELL_PARAMETERS angstrom
6.8823 0.0000 0.0000
0.0000 6.8823 0.0000
0.0000 0.0000 6.8823
! crystal system = cubic
! E_tot = -5.593 eV/atom
! magnetic moment = 3.14 μB per formula unit
! volume = 326.0 Å³/cell
! space-group type = F-43m, No. 216